ZrScBe2 | meta-GGA SCAN | PBEsol geometry

Computed properties:
Its space-group type is Pmm2 (25). As for the calculated total energy: -13.13 eV per atom. Its magnetization is 0.00 μB/f.u.

Cell: 3.043 3.989 5.367 Å, 90.00 90.00 90.00°
Fractional coordinates of all 4 atoms:
Sc 0.000 0.000 0.454
Be 0.000 0.000 0.973
Be 0.500 0.500 0.277
Zr 0.500 0.500 0.796



MnSb2Au | meta-GGA SCAN | PBEsol geometry

Computed properties:
Its space-group type is P4mm (99). For the uncorrected formation energy, the calculation gives -0.05 eV per atom. As for the calculated total energy: -40.54 eV per atom. Its magnetization is 3.99 μB/f.u.

Cell: 3.204 3.204 8.083 Å, 90.00 90.00 90.00°
Each line ends with the local moment (μB).
Fractional coordinates of all 4 atoms:
Au 0.000 0.000 0.538  0.04
Mn 0.500 0.500 0.724  3.95
Sb 0.000 0.000 0.944  -0.06
Sb 0.500 0.500 0.294  -0.02



> Among the records above, which one has the lowest magnetization?

ZrScBe2



> Which value of calculated total energy does entry 1 give?

-13.13 eV per atom



What did the first record say?
ZrScBe2 | meta-GGA SCAN | PBEsol geometry

Computed properties:
Its space-group type is Pmm2 (25). As for the calculated total energy: -13.13 eV per atom. Its magnetization is 0.00 μB/f.u.

Cell: 3.043 3.989 5.367 Å, 90.00 90.00 90.00°
Fractional coordinates of all 4 atoms:
Sc 0.000 0.000 0.454
Be 0.000 0.000 0.973
Be 0.500 0.500 0.277
Zr 0.500 0.500 0.796